(one)
Material: BaAl2Pb2
Method: DFT, GGA-PBE
State: optimized geometry

a = 5.215 Å, b = 5.215 Å, c = 6.592 Å
α = 66.70°, β = 66.70°, γ = 90.00°
Fractional positions:
1 Pb 0.250 0.750 0.500
2 Al 0.381 0.381 0.239
3 Ba 0.000 0.000 0.000
4 Al 0.619 0.619 0.761
5 Pb 0.750 0.250 0.500

Summary:
Calculated volume (A^3/atom): 29.72
Symmetry: I4/mmm
Spin magnetization (μB/atom): 0.0000

---

(two)
Material: BaAl2Pb2
Method: DFT, GGA-PBE
State: optimized geometry

a = 8.923 Å, b = 8.923 Å, c = 3.701 Å
α = 90.00°, β = 90.00°, γ = 90.00°
Fractional positions:
1 Ba 0.500 0.500 0.000
2 Pb 0.366 0.866 0.000
3 Pb 0.634 0.134 0.000
4 Pb 0.134 0.366 0.000
5 Al 0.151 0.651 0.500
6 Al 0.651 0.849 0.500
7 Ba 0.000 0.000 0.000
8 Al 0.849 0.349 0.500
9 Pb 0.866 0.634 0.000
10 Al 0.349 0.151 0.500

Summary:
Calculated volume (A^3/atom): 29.46
Symmetry: P4/mbm
Spin magnetization (μB/atom): 0.0000

---

(three)
Material: BaAl2Pb2
Method: DFT, GGA-PBE
State: optimized geometry

a = 8.732 Å, b = 8.732 Å, c = 3.767 Å
α = 90.00°, β = 90.00°, γ = 90.00°
Fractional positions:
1 Pb 0.166 0.666 0.500
2 Pb 0.666 0.834 0.500
3 Al 0.885 0.615 0.000
4 Pb 0.834 0.334 0.500
5 Al 0.615 0.115 0.000
6 Ba 0.500 0.500 0.000
7 Pb 0.334 0.166 0.500
8 Al 0.385 0.885 0.000
9 Ba 0.000 0.000 0.000
10 Al 0.115 0.385 0.000

Summary:
Calculated volume (A^3/atom): 28.72
Symmetry: P4/mbm
Spin magnetization (μB/atom): 0.0000

---

In meV/atom, relative to the most stable structure: (one) 0; (two) 242; (three) 148.

---

(one)
Material: Ba2AlPb
Method: DFT, GGA-PBE
State: optimized geometry

a = 4.747 Å, b = 5.214 Å, c = 7.027 Å
α = 68.23°, β = 90.00°, γ = 90.00°
Fractional positions:
1 Ba 0.000 0.985 0.905
2 Al 0.500 0.559 0.756
3 Ba 0.500 0.264 0.346
4 Pb 0.000 0.691 0.492

Summary:
Calculated volume (A^3/atom): 40.38
Symmetry: Amm2
Spin magnetization (μB/atom): 0.0266

---

(two)
Material: Ba2AlPb
Method: DFT, GGA-PBE
State: optimized geometry

a = 9.474 Å, b = 9.474 Å, c = 7.605 Å
α = 51.48°, β = 51.48°, γ = 90.00°
Fractional positions:
1 Pb 0.000 0.000 0.000
2 Al 0.250 0.750 0.500
3 Ba 0.375 0.386 0.750
4 Ba 0.875 0.864 0.750
5 Al 0.500 0.500 0.000
6 Pb 0.750 0.250 0.500
7 Ba 0.614 0.125 0.250
8 Ba 0.136 0.625 0.250

Summary:
Calculated volume (A^3/atom): 40.39
Symmetry: I-42d
Spin magnetization (μB/atom): 0.0000

---

(three)
Material: Ba2AlPb
Method: DFT, GGA-PBE
State: optimized geometry

a = 5.949 Å, b = 5.949 Å, c = 5.949 Å
α = 60.00°, β = 60.00°, γ = 60.00°
Fractional positions:
1 Pb 0.750 0.750 0.750
2 Ba 0.000 0.000 0.000
3 Al 0.500 0.500 0.500
4 Ba 0.250 0.250 0.250

Summary:
Calculated volume (A^3/atom): 37.22
Symmetry: F-43m
Spin magnetization (μB/atom): 0.0000

---

In meV/atom, relative to the most stable structure: (one) 0; (two) 443; (three) 371.

---

(one)
Material: Ba2AlPb
Method: DFT, GGA-PBE
State: optimized geometry

a = 6.005 Å, b = 6.005 Å, c = 6.005 Å
α = 60.00°, β = 60.00°, γ = 60.00°
Fractional positions:
1 Pb 0.500 0.500 0.500
2 Al 0.000 0.000 0.000
3 Ba 0.250 0.250 0.250
4 Ba 0.750 0.750 0.750

Summary:
Calculated volume (A^3/atom): 38.27
Symmetry: Fm-3m
Spin magnetization (μB/atom): 0.0000

---

(two)
Material: Ba2AlPb
Method: DFT, GGA-PBE
State: optimized geometry

a = 4.032 Å, b = 5.637 Å, c = 7.211 Å
α = 90.00°, β = 90.00°, γ = 90.00°
Fractional positions:
1 Pb 0.000 0.000 0.453
2 Ba 0.500 0.500 0.321
3 Ba 0.000 0.000 0.923
4 Al 0.500 0.500 0.802

Summary:
Calculated volume (A^3/atom): 40.98
Symmetry: Pmm2
Spin magnetization (μB/atom): 0.0000

---

(three)
Material: Ba2AlPb
Method: DFT, GGA-PBE
State: optimized geometry

a = 5.730 Å, b = 5.730 Å, c = 7.807 Å
α = 79.61°, β = 79.61°, γ = 41.65°
Fractional positions:
1 Pb 0.750 0.750 0.750
2 Ba 0.500 0.500 0.495
3 Ba 0.000 0.000 0.005
4 Al 0.250 0.250 0.250

Summary:
Calculated volume (A^3/atom): 41.79
Symmetry: C2/m
Spin magnetization (μB/atom): 0.0000

---

(four)
Material: Ba2AlPb
Method: DFT, GGA-PBE
State: optimized geometry

a = 6.771 Å, b = 6.771 Å, c = 5.672 Å
α = 65.28°, β = 65.28°, γ = 38.61°
Fractional positions:
1 Ba 0.974 0.974 0.026
2 Al 0.204 0.204 0.296
3 Pb 0.549 0.549 0.452
4 Ba 0.773 0.773 0.727

Summary:
Calculated volume (A^3/atom): 36.37
Symmetry: Imm2
Spin magnetization (μB/atom): 0.0000

---

In meV/atom, relative to the most stable structure: (one) 62; (two) 311; (three) 273; (four) 0.

---

(one)
Material: Ba2AlPb
Method: DFT, GGA-PBE
State: optimized geometry

a = 9.800 Å, b = 9.800 Å, c = 9.800 Å
α = 28.07°, β = 28.07°, γ = 28.07°
Fractional positions:
1 Ba 0.216 0.216 0.216
2 Pb 0.473 0.473 0.473
3 Ba 0.037 0.037 0.037
4 Al 0.775 0.775 0.775

Summary:
Calculated volume (A^3/atom): 46.02
Symmetry: R3m
Spin magnetization (μB/atom): 0.0549

---

(two)
Material: Ba2AlPb
Method: DFT, GGA-PBE
State: optimized geometry

a = 6.075 Å, b = 6.075 Å, c = 4.138 Å
α = 90.00°, β = 90.00°, γ = 89.99°
Fractional positions:
1 Al 0.000 0.500 0.500
2 Ba 0.500 0.500 0.000
3 Pb 0.500 0.000 0.500
4 Ba 0.000 0.000 0.000

Summary:
Calculated volume (A^3/atom): 38.18
Symmetry: P4/mmm
Spin magnetization (μB/atom): 0.0000

---

In meV/atom, relative to the most stable structure: (one) 0; (two) 8.

---

(one)
Material: BaAl3Pb
Method: DFT, GGA-PBE
State: optimized geometry

a = 5.830 Å, b = 5.830 Å, c = 5.830 Å
α = 90.00°, β = 90.00°, γ = 90.00°
Fractional positions:
1 Al 0.000 0.500 0.000
2 Pb 0.500 0.500 0.500
3 Al 0.000 0.000 0.500
4 Ba 0.000 0.000 0.000
5 Al 0.500 0.000 0.000

Summary:
Calculated volume (A^3/atom): 39.62
Symmetry: Pm-3m
Spin magnetization (μB/atom): 0.0000

---

(two)
Material: BaAl3Pb
Method: DFT, GGA-PBE
State: optimized geometry

a = 5.554 Å, b = 5.554 Å, c = 5.554 Å
α = 90.00°, β = 90.00°, γ = 90.00°
Fractional positions:
1 Ba 0.500 0.500 0.500
2 Al 0.500 0.000 0.000
3 Pb 0.000 0.000 0.000
4 Al 0.000 0.500 0.000
5 Al 0.000 0.000 0.500

Summary:
Calculated volume (A^3/atom): 34.26
Symmetry: Pm-3m
Spin magnetization (μB/atom): 0.0000

---

In meV/atom, relative to the most stable structure: (one) 780; (two) 0.

---

(one)
Material: BaAl3Pd3
Method: DFT, GGA-PBE
State: optimized geometry

a = 6.923 Å, b = 6.923 Å, c = 6.923 Å
α = 90.00°, β = 90.00°, γ = 90.00°
Fractional positions:
1 Ba 0.500 0.500 0.500
2 Al 0.000 0.250 0.500
3 Pd 0.500 0.250 0.000
4 Al 0.000 0.750 0.500
5 Al 0.500 0.000 0.750
6 Pd 0.750 0.000 0.500
7 Al 0.500 0.000 0.250
8 Ba 0.000 0.000 0.000
9 Pd 0.500 0.750 0.000
10 Pd 0.000 0.500 0.250
11 Pd 0.250 0.000 0.500
12 Al 0.750 0.500 0.000
13 Pd 0.000 0.500 0.750
14 Al 0.250 0.500 0.000

Summary:
Calculated volume (A^3/atom): 23.70
Symmetry: Pm-3n
Spin magnetization (μB/atom): 0.0000

---

(two)
Material: BaAl3Pd3
Method: DFT, GGA-PBE
State: optimized geometry

a = 6.806 Å, b = 6.806 Å, c = 8.597 Å
α = 66.68°, β = 66.68°, γ = 60.00°
Fractional positions:
1 Al 0.903 0.443 0.385
2 Al 0.443 0.269 0.385
3 Pd 0.149 0.672 0.287
4 Ba 0.662 0.662 0.015
5 Pd 0.851 0.328 0.713
6 Pd 0.892 0.149 0.287
7 Pd 0.672 0.892 0.287
8 Al 0.269 0.903 0.385
9 Pd 0.328 0.108 0.713
10 Al 0.557 0.731 0.615
11 Al 0.731 0.097 0.615
12 Al 0.097 0.557 0.615
13 Ba 0.338 0.338 0.985
14 Pd 0.108 0.851 0.713

Summary:
Calculated volume (A^3/atom): 21.91
Symmetry: R-3
Spin magnetization (μB/atom): 0.0000

---

In meV/atom, relative to the most stable structure: (one) 38; (two) 0.